! PBE with a Hubbard U TiMnBi2F, optimized geometry; values from VASP
! Energy (eV/atom): -4.8383
! Theoretical density (Mg/m³): 6.0
! Total magnetic moment (μB/f.u.): 4.59
&SYSTEM
  ibrav = 0, nat = 5, ntyp = 4
/
ATOMIC_SPECIES
Bi 208.98 Bi.upf
Mn 54.94 Mn.upf
Ti 47.87 Ti.upf
F 19.00 F.upf
CELL_PARAMETERS angstrom
5.2575 0.0000 0.0000
0.0000 5.4060 0.0000
0.0000 0.0000 5.2575
ATOMIC_POSITIONS angstrom
Bi 0.0000 0.0000 2.6288
Bi 2.6288 0.0000 0.0000
Mn 0.0000 2.7030 0.0000
Ti 0.0000 0.0000 0.0000
F 2.6288 2.7030 2.6288